Entry 1:
Here is a relaxed TbPuCuO6 crystal from Alexandria. Energies are from PBE.

Calculated values
Formation energy from raw total energies (eV per atom): -2.03

a b c (Å): 4.4272 5.6361 5.6361
angles (deg): 120.00 90.00 90.00
Last column: nearest neighbours and their distance in Å.
Fractional coordinates of all 9 atoms:
O 0.2592 0.0093 0.7003  1 Pu 2.02, 1 Cu 2.24
O 0.2592 0.2997 0.3091  1 Pu 2.02, 1 Cu 2.24
O 0.7408 0.2997 0.9907  1 Pu 2.02, 1 Cu 2.24
O 0.2592 0.6909 0.9907  1 Pu 2.02, 1 Cu 2.24
O 0.7408 0.0093 0.3091  1 Pu 2.02, 1 Cu 2.24
O 0.7408 0.6909 0.7003  1 Pu 2.02, 1 Cu 2.24
Cu 0.0000 0.3333 0.6667  6 O 2.24
Pu 0.5000 0.0000 0.0000  6 O 2.02
Tb 0.5000 0.6667 0.3333  6 O 2.27

=====

Entry 2:
Here is a relaxed BaHf2ZrBi crystal from Alexandria. Energies are from PBE.

Calculated values
Formation energy (eV/atom): 1.79

a b c (Å): 5.3540 5.3143 5.3540
angles (deg): 90.00 90.00 90.00
Last column: nearest neighbours and their distance in Å.
Fractional coordinates of all 5 atoms:
Ba 0.0000 0.0000 0.0000  2 Zr 2.66, 4 Hf 2.68
Bi 0.5000 0.5000 0.5000  8 Hf 3.77, 4 Zr 3.79
Hf 0.0000 0.0000 0.5000  2 Ba 2.68
Hf 0.5000 0.0000 0.0000  2 Ba 2.68
Zr 0.0000 0.5000 0.0000  2 Ba 2.66

=====

Entry 3:
Here is a relaxed Ac6NiOs2 crystal from Alexandria. Energies are from PBE.

Calculated values
Formation energy (eV/atom): -0.08

a b c (Å): 4.4107 8.3259 9.3916
angles (deg): 98.94 103.58 90.00
Last column: nearest neighbours and their distance in Å.
Fractional coordinates of all 9 atoms:
Os 0.1644 0.3216 0.3288  6 Ac 2.87-3.03
Os 0.8356 0.6784 0.6712  6 Ac 2.87-3.03
Ac 0.6649 0.0892 0.3299  2 Os 2.93, 1 Ni 2.98
Ac 0.0054 0.2413 0.0108  1 Os 2.87, 2 Ni 2.97
Ac 0.3351 0.9108 0.6701  2 Os 2.93, 1 Ni 2.98
Ac 0.3305 0.4335 0.6611  3 Os 2.99-3.03
Ac 0.6695 0.5665 0.3389  3 Os 2.99-3.03
Ac 0.9946 0.7587 0.9892  1 Os 2.87, 2 Ni 2.97
Ni 0.5000 0.0000 0.0000  6 Ac 2.97-2.98

=====

Entry 4:
Here is a relaxed RbNpTiO5 crystal from Alexandria. Energies are from PBE.

Calculated values
Formation energy from raw total energies (eV per atom): -2.79

a b c (Å): 6.2736 6.2736 8.0582
angles (deg): 105.14 105.14 105.45
Last column: nearest neighbours and their distance in Å.
Fractional coordinates of all 16 atoms:
O 0.2808 0.8800 0.6077  1 Ti 1.86
O 0.6205 0.7784 0.8913  1 Ti 1.83
O 0.3795 0.2216 0.1087  1 Ti 1.83
O 0.7784 0.6205 0.3913  1 Ti 1.83
O 0.0557 0.9443 0.2500  2 Np 2.09
O 0.7192 0.1200 0.3923  1 Ti 1.86
O 0.8800 0.2808 0.1077  1 Ti 1.86
O 0.2216 0.3795 0.6087  1 Ti 1.83
O 0.9443 0.0557 0.7500  2 Np 2.09
O 0.1200 0.7192 0.8923  1 Ti 1.86
Rb 0.3326 0.6674 0.2500  7 O 2.76-2.98
Rb 0.6674 0.3326 0.7500  7 O 2.76-2.98
Ti 0.3089 0.6911 0.7500  4 O 1.83-1.86
Ti 0.6911 0.3089 0.2500  4 O 1.83-1.86
Np 0.0000 0.0000 0.0000  6 O 2.09-2.21
Np 0.0000 0.0000 0.5000  6 O 2.09-2.21

=====

Entry 5:
Here is a relaxed Ac8Co2Pt crystal from Alexandria. Energies are from PBE.

Calculated values
Formation energy (eV/atom): -0.20

a b c (Å): 7.0814 7.9483 7.9483
angles (deg): 65.21 89.03 89.03
Last column: nearest neighbours and their distance in Å.
Fractional coordinates of all 11 atoms:
Ac 0.8334 0.3982 0.8674  2 Co 2.85-3.02, 1 Pt 3.10
Ac 0.3233 0.6291 0.6291  1 Co 2.86
Ac 0.1666 0.1326 0.6018  2 Co 2.85-3.02, 1 Pt 3.10
Ac 0.6553 0.8757 0.8757  1 Co 2.89, 1 Pt 2.98
Ac 0.6767 0.3709 0.3709  1 Co 2.86
Ac 0.8334 0.8674 0.3982  2 Co 2.85-3.02, 1 Pt 3.10
Ac 0.3447 0.1243 0.1243  1 Co 2.89, 1 Pt 2.98
Ac 0.1666 0.6018 0.1326  2 Co 2.85-3.02, 1 Pt 3.10
Co 0.0138 0.7694 0.7694  6 Ac 2.85-3.02, 1 Pt 3.09
Co 0.9862 0.2306 0.2306  6 Ac 2.85-3.02, 1 Pt 3.09
Pt 0.0000 0.0000 0.0000  6 Ac 2.98-3.10, 2 Co 3.09

=====

Entry 6:
Here is a relaxed Be2FeSiIr crystal from Alexandria. Energies are from PBE.

Calculated values
Formation energy from raw total energies (eV per atom): 0.59

a b c (Å): 3.8713 4.1357 3.8713
angles (deg): 90.00 90.00 90.00
Last column: nearest neighbours and their distance in Å.
Fractional coordinates of all 5 atoms:
Ir 0.5000 0.5000 0.5000  4 Si 2.74, 8 Be 2.83
Si 0.0000 0.5000 0.0000  2 Fe 2.07
Fe 0.0000 0.0000 0.0000  4 Be 1.94, 2 Si 2.07
Be 0.0000 0.0000 0.5000  2 Fe 1.94
Be 0.5000 0.0000 0.0000  2 Fe 1.94

=====

Entry 7:
Here is a relaxed LaY2PtPb crystal from Alexandria. Energies are from PBE.

Calculated values
Formation energy (eV/atom): -0.57

a b c (Å): 5.4958 5.4999 5.4958
angles (deg): 90.00 90.00 90.00
Last column: nearest neighbours and their distance in Å.
Fractional coordinates of all 5 atoms:
La 0.0000 0.5000 0.0000  2 Pt 2.75
Y 0.0000 0.0000 0.5000  2 Pt 2.75
Y 0.5000 0.0000 0.0000  2 Pt 2.75
Pb 0.5000 0.5000 0.5000  4 La 3.89, 8 Y 3.89
Pt 0.0000 0.0000 0.0000  4 Y 2.75, 2 La 2.75

=====

Entry 8:
Here is a relaxed MgPb4 crystal from Alexandria. Energies are from PBE.

Calculated values
Formation energy (eV/atom): 0.33
Energy above the most stable polymorph in this dataset (meV/atom): 335

a b c (Å): 5.5297 5.5297 5.5297
angles (deg): 90.00 90.00 90.00
Last column: nearest neighbours and their distance in Å.
Fractional coordinates of all 5 atoms:
Pb 0.5000 0.0000 0.5000  2 Mg 2.76
Pb 0.0000 0.5000 0.5000  2 Mg 2.76
Pb 0.0000 0.0000 0.0000  12 Pb 3.91
Pb 0.5000 0.5000 0.0000  2 Mg 2.76
Mg 0.5000 0.5000 0.5000  6 Pb 2.76

=====

Entry 9:
Here is a relaxed NaAg2PbN crystal from Alexandria. Energies are from PBE.

Calculated values
Formation energy from raw total energies (eV per atom): 1.14

a b c (Å): 5.0507 4.2608 5.0507
angles (deg): 90.00 90.00 90.00
Last column: nearest neighbours and their distance in Å.
Fractional coordinates of all 5 atoms:
N 0.0000 0.5000 0.0000  2 Na 2.13
Pb 0.5000 0.5000 0.5000  8 Ag 3.30, 4 N 3.57
Ag 0.5000 0.0000 0.0000  2 Na 2.53
Ag 0.0000 0.0000 0.5000  2 Na 2.53
Na 0.0000 0.0000 0.0000  2 N 2.13

=====

Entry 10:
Here is a relaxed InCu2AgSe crystal from Alexandria. Energies are from PBE.

Calculated values
Formation energy from raw total energies (eV per atom): 0.36

a b c (Å): 4.4344 6.4901 4.4344
angles (deg): 90.00 90.00 90.00
Last column: nearest neighbours and their distance in Å.
Fractional coordinates of all 5 atoms:
Ag 0.5000 0.5000 0.5000  4 In 3.14
Cu 0.0000 0.0000 0.5000  2 Se 2.22
Cu 0.5000 0.0000 0.0000  2 Se 2.22
Se 0.0000 0.0000 0.0000  4 Cu 2.22
In 0.0000 0.5000 0.0000  4 Ag 3.14, 2 Se 3.25

=====

Entry 11:
Here is a relaxed YAu2Cl crystal from Alexandria. Energies are from PBE.

Calculated values
Formation energy from raw total energies (eV per atom): -0.64

a b c (Å): 7.8705 7.8705 7.8705
angles (deg): 29.00 29.00 29.00
Last column: nearest neighbours and their distance in Å.
Fractional coordinates of all 4 atoms:
Au 0.0025 0.0025 0.0025  3 Y 2.92, 3 Cl 2.99
Au 0.4975 0.4975 0.4975  3 Y 2.92, 3 Cl 2.99
Cl 0.2500 0.2500 0.2500  6 Au 2.99
Y 0.7500 0.7500 0.7500  6 Au 2.92

=====

Entry 12:
Here is a relaxed NaSmAl crystal from Alexandria. Energies are from PBE.

Calculated values
Formation energy (eV/atom): 0.09

a b c (Å): 6.3233 6.0446 6.3515
angles (deg): 74.91 60.15 58.46
Last column: nearest neighbours and their distance in Å.
Fractional coordinates of all 6 atoms:
Na 0.1607 0.6786 0.0000  4 Al 3.31, 3 Na 3.31-3.66
Na 0.8393 0.3214 0.0000  4 Al 3.31, 3 Na 3.31-3.66
Sm 0.3235 0.0000 0.3529  4 Al 3.13
Sm 0.6765 0.0000 0.6471  4 Al 3.13
Al 0.7500 0.5000 0.5000  4 Sm 3.13, 2 Al 3.16, 4 Na 3.31
Al 0.2500 0.5000 0.5000  4 Sm 3.13, 2 Al 3.16, 4 Na 3.31

=====

Number 1: M_tot 1.78 μB/f.u., total DFT energy (no corrections) -71.07 eV for the cell shown. Number 2: M_tot 0.98 μB/f.u., total DFT energy (no corrections) -25.33 eV for the cell shown. Number 3: M_tot 0.00 μB/f.u., total DFT energy (no corrections) -53.63 eV for the cell shown. Number 4: M_tot 2.00 μB/f.u., total DFT energy (no corrections) -137.78 eV for the cell shown. Number 5: M_tot 0.00 μB/f.u., total DFT energy (no corrections) -55.33 eV for the cell shown. Number 6: M_tot 0.11 μB/f.u., total DFT energy (no corrections) -27.23 eV for the cell shown. Number 7: M_tot 0.00 μB/f.u., total DFT energy (no corrections) -30.44 eV for the cell shown. Number 8: M_tot 0.00 μB/f.u., total DFT energy (no corrections) -14.79 eV for the cell shown. Number 9: M_tot 0.00 μB/f.u., total DFT energy (no corrections) -13.37 eV for the cell shown. Number 10: M_tot 0.00 μB/f.u., total DFT energy (no corrections) -15.47 eV for the cell shown. Number 11: M_tot 0.00 μB/f.u., total DFT energy (no corrections) -17.44 eV for the cell shown. Number 12: M_tot 0.41 μB/f.u., total DFT energy (no corrections) -18.99 eV for the cell shown.